Crystalline NdH4Pd5 at its relaxed geometry. Source: Alexandria, functional PBE-GGA.

extended XYZ file:
```
20
Lattice="-0.056 -1.058 -4.703 4.624 -3.540 0.741 -5.209 -6.485 1.521" Properties=species:S:1:pos:R:3 pbc="T T T"
Nd -0.043 -0.815 -3.625
Nd -0.305 -5.255 0.053
H -3.751 -4.773 0.606
H 3.129 -2.885 -1.586
H 1.446 -1.596 -1.855
H -1.469 -1.932 -0.060
H 1.121 -4.139 -3.512
H 1.147 -6.726 -1.245
H -1.794 -4.474 -1.717
H -1.806 -7.783 -2.657
Pd -0.881 -8.280 0.659
Pd -3.161 -6.535 0.293
Pd 2.269 -2.580 -3.231
Pd 2.549 -4.010 -0.343
Pd 0.269 -2.265 -0.708
Pd 1.727 -5.601 -2.488
Pd -0.617 -3.806 -2.864
Pd -2.618 -3.490 -0.342
Pd -2.396 -6.021 -2.344
Pd -0.052 -7.815 -1.969
```

Calculated values
Its final energy is -4.7550 eV per atom.

---

Crystalline LiInSn at its relaxed geometry. Source: Alexandria, functional PBE-GGA.

extended XYZ file:
```
12
Lattice="-5.638 -3.269 3.818 2.914 -1.881 2.692 -0.417 6.769 5.181" Properties=species:S:1:pos:R:3 pbc="T T T"
Li -2.769 -1.965 3.414
Li -3.046 -0.405 8.384
Li -0.372 3.583 8.276
Li -0.095 2.024 3.307
Sn -0.507 -0.466 2.013
Sn 0.308 1.727 6.243
Sn -2.634 2.085 9.677
Sn -3.449 -0.108 5.448
In -2.732 2.597 6.562
In -3.206 -2.969 6.766
In -0.409 -0.978 5.129
In 0.065 4.587 4.925
```

Calculated values
The formation enthalpy at 0 K comes out at -0.164 eV/atom. Its final energy is -3.0494 eV per atom.

---

Crystalline Pa2MnGa at its relaxed geometry. Source: Alexandria, functional PBE-GGA.

extended XYZ file:
```
4
Lattice="-0.053 2.437 -1.880 0.541 -1.844 -2.405 -8.155 -1.000 -1.067" Properties=species:S:1:pos:R:3 pbc="T T T"
Mn 0.244 0.296 -2.142
Pa -6.387 -0.783 -0.836
Pa -1.768 -0.217 -0.231
Ga -3.833 -0.203 -2.676
```

Calculated values
The formation enthalpy at 0 K comes out at -0.171 eV/atom. Its final energy is -7.9684 eV per atom. The polymorph energy (0 for the lowest one) comes out at 0.000 kcal/mol of atoms.

---

Crystalline Sc2Cd at its relaxed geometry. Source: Alexandria, functional PBE-GGA.

extended XYZ file:
```
6
Lattice="-0.741 -1.345 3.122 7.064 0.624 3.884 -1.334 4.638 1.682" Properties=species:S:1:pos:R:3 pbc="T T T"
Cd 7.048 0.621 3.878
Cd 5.218 2.129 6.033
Sc 4.218 -0.481 4.672
Sc 2.050 -0.251 2.317
Sc 3.151 2.377 3.711
Sc 0.242 1.261 4.479
```

Calculated values
The formation enthalpy at 0 K comes out at -0.117 eV/atom. Its final energy is -4.6435 eV per atom.

---

Ρ
In order: 9.44, 5.64, 12.41, 4.78
Unit: g cm⁻³
Total moment
In order: 0.0, 0.0, 0.0, 0.0
Unit: μB/f.u.